# 1
DFT (GGA-PBE) results for crystalline BaInRhW2 at its relaxed geometry.

Cell: 5.0546 5.0546 5.6356 Å, 90.00 90.00 90.00°
With the nearest neighbours (Å) after each atom.
Positions (direct):
Ba 0.0000 0.0000 0.0000  4 W 2.53, 2 In 2.82
In 0.0000 0.0000 0.5000  2 Ba 2.82
Rh 0.5000 0.5000 0.5000  4 In 3.57, 8 W 3.79
W 0.0000 0.5000 0.0000  2 Ba 2.53
W 0.5000 0.0000 0.0000  2 Ba 2.53

For the formation energy, the calculation gives 3.435 eV/atom. The value obtained for the spin magnetization is 2.3 μB per cell. As for the symmetry: P4/mmm, No. 123.

***

# 2
DFT (GGA-PBE) results for crystalline LaGaPO2 at its relaxed geometry.

Cell: 3.8874 3.8874 7.6402 Å, 90.00 90.00 90.00°
With the nearest neighbours (Å) after each atom.
Positions (direct):
La 0.0000 0.0000 0.0000  4 P 2.75
Ga 0.0000 0.0000 0.5000  4 O 1.94
P 0.5000 0.5000 0.0000  4 La 2.75
O 0.0000 0.5000 0.5000  2 Ga 1.94
O 0.5000 0.0000 0.5000  2 Ga 1.94

The formation energy without anion corrections comes out at -317.8 kJ/mol of formula units. The value obtained for the spin magnetization is 0.7 μB per cell. As for the symmetry: P4/mmm, No. 123. For the energy above the lowest structure with this stoichiometry, the calculation gives 15.19 kcal/mol of atoms.

***

# 3
DFT (GGA-PBE) results for crystalline Ca3Se2N at its relaxed geometry.

Cell: 7.0604 7.0604 6.9863 Å, 99.33 99.33 122.04°
With the nearest neighbours (Å) after each atom.
Positions (direct):
Ca 0.0000 0.5000 0.5000  4 Se 2.83-2.88, 2 N 2.98
Ca 0.1337 0.2817 0.0031  2 N 2.58
Ca 0.2817 0.1337 0.5031  2 N 2.58
Ca 0.5000 0.0000 0.0000  4 Se 2.83-2.88, 2 N 2.98
Ca 0.7183 0.8663 0.4969  2 N 2.58
Ca 0.8663 0.7183 0.9969  2 N 2.58
Se 0.2577 0.7423 0.2500  6 Ca 2.83-3.00
Se 0.4180 0.5820 0.7500  6 Ca 2.88-3.08
Se 0.5820 0.4180 0.2500  6 Ca 2.88-3.08
Se 0.7423 0.2577 0.7500  6 Ca 2.83-3.00
N 0.0708 0.9292 0.7500  4 Ca 2.58
N 0.9292 0.0708 0.2500  4 Ca 2.58

The formation energy without anion corrections comes out at -761.7 kJ/mol of formula units. The value obtained for the spin magnetization is 2.0 μB per cell. As for the symmetry: C2/c, No. 15.

***

# 4
DFT (GGA-PBE) results for crystalline SmPuPt at its relaxed geometry.

Cell: 4.7360 4.7360 3.8668 Å, 90.00 90.00 120.00°
With the nearest neighbours (Å) after each atom.
Positions (direct):
Sm 0.0000 0.0000 0.0000  3 Pt 3.01, 3 Pu 3.21
Pu 0.3333 0.6667 0.5672  3 Pt 2.89, 3 Sm 3.21
Pt 0.6667 0.3333 0.3234  3 Pu 2.89, 3 Sm 3.01

For the formation energy, the calculation gives -0.439 eV/atom. The value obtained for the spin magnetization is 6.0 μB per cell. As for the symmetry: P3m1, No. 156. For the energy above the lowest structure with this stoichiometry, the calculation gives 5.93 kcal/mol of atoms.

***

# 5
DFT (GGA-PBE) results for crystalline TmU2OsC4 at its relaxed geometry.

Cell: 6.0161 6.0161 11.6724 Å, 90.00 90.00 146.47°
With the nearest neighbours (Å) after each atom.
Positions (direct):
Tm 0.1125 0.8875 0.7500  6 C 2.54-2.71
Tm 0.8875 0.1125 0.2500  6 C 2.54-2.71
U 0.3695 0.6305 0.5463  6 C 2.30-2.56
U 0.3695 0.6305 0.9537  6 C 2.30-2.56
U 0.6305 0.3695 0.0463  6 C 2.30-2.56
U 0.6305 0.3695 0.4537  6 C 2.30-2.56
Os 0.1489 0.8511 0.2500  4 C 2.01-2.09
Os 0.8511 0.1489 0.7500  4 C 2.01-2.09
C 0.0000 0.0000 0.0000  4 U 2.36
C 0.0000 0.0000 0.5000  4 U 2.36
C 0.2637 0.7363 0.1205  1 Os 2.01
C 0.2637 0.7363 0.3795  1 Os 2.01
C 0.4521 0.5479 0.7500  2 Os 2.09
C 0.5479 0.4521 0.2500  2 Os 2.09
C 0.7363 0.2637 0.6205  1 Os 2.01
C 0.7363 0.2637 0.8795  1 Os 2.01

For the formation energy, the calculation gives -0.031 eV/atom. The value obtained for the spin magnetization is 0.0 μB per cell. As for the symmetry: Cmcm, No. 63.

***

# 6
DFT (GGA-PBE) results for crystalline BeGaBr3 at its relaxed geometry.

Cell: 3.7750 13.1851 13.1851 Å, 152.02 90.00 90.00°
With the nearest neighbours (Å) after each atom.
Positions (direct):
Be 0.2500 0.1123 0.8877  4 Br 2.14-2.32
Be 0.7500 0.8877 0.1123  4 Br 2.14-2.32
Ga 0.2500 0.3667 0.7028  5 Br 3.04-3.17
Ga 0.7500 0.7028 0.3667  5 Br 3.04-3.17
Br 0.2500 0.1146 0.7268  1 Be 2.15
Br 0.2500 0.4161 0.2337  1 Be 2.14
Br 0.2500 0.7717 0.9230  2 Be 2.32
Br 0.7500 0.2337 0.4161  1 Be 2.14
Br 0.7500 0.7268 0.1146  1 Be 2.15
Br 0.7500 0.9230 0.7717  2 Be 2.32

The formation energy without anion corrections comes out at -375.3 kJ/mol of formula units. The value obtained for the spin magnetization is 0.0 μB per cell. As for the symmetry: Ama2, No. 40. For the energy above the lowest structure with this stoichiometry, the calculation gives 0.00 kcal/mol of atoms.

***

| no. | total DFT energy (no corrections) (eV/atom) |
| --- | --- |
| 1 | -4.1486 |
| 2 | -5.3149 |
| 3 | -4.8655 |
| 4 | -8.8027 |
| 5 | -9.4281 |
| 6 | -3.1323 |